! SrOs2Cl GGA-PBE optimized geometry; values from VASP
&SYSTEM
  ibrav = 0, nat = 4, ntyp = 3
/
ATOMIC_SPECIES
Sr 87.62 Sr.upf
Os 190.23 Os.upf
Cl 35.45 Cl.upf
CELL_PARAMETERS angstrom
-3.098 1.656 -3.200
-3.602 -1.528 2.696
3.287 2.894 1.844
ATOMIC_POSITIONS angstrom
Sr -3.350 0.064 -0.252
Os -1.833 0.715 2.144
Os 0.000 0.000 0.000
Cl -1.581 2.307 -0.804
! ρ = 11020 kg/m³
! total magnetic moment = 0.0019 μB/atom
! total energy = -21.81 eV per cell
! space group = No. 216
! energy relative to the elements, uncorrected = 1.04 eV per atom
! E above lowest polymorph = 1.113 eV per atom



! Li2PrBiS GGA-PBE optimized geometry; values from VASP
&SYSTEM
  ibrav = 0, nat = 5, ntyp = 4
/
ATOMIC_SPECIES
Li 6.94 Li.upf
S 32.06 S.upf
Pr 140.91 Pr.upf
Bi 208.98 Bi.upf
CELL_PARAMETERS angstrom
-1.207 0.609 4.454
0.100 -4.607 0.657
5.603 0.332 1.472
ATOMIC_POSITIONS angstrom
Li 4.833 -3.986 4.286
Li 5.386 -1.987 1.731
S 0.134 0.008 0.035
Pr 2.938 -4.439 1.403
Bi 2.611 -1.812 3.387
! ρ = 5229 kg/m³
! total magnetic moment = 0.0000 μB/atom
! total energy = -22.12 eV per cell
! space group = No. 99
! energy relative to the elements, uncorrected = -1.10 eV per atom



! CsNd6Te8 GGA-PBE optimized geometry; values from VASP
&SYSTEM
  ibrav = 0, nat = 15, ntyp = 3
/
ATOMIC_SPECIES
Nd 144.24 Nd.upf
Te 127.60 Te.upf
Cs 132.91 Cs.upf
CELL_PARAMETERS angstrom
4.572 0.000 0.000
0.000 12.166 0.000
0.000 -6.083 10.536
ATOMIC_POSITIONS angstrom
Nd 3.427 -1.285 5.107
Nd 3.427 -1.018 9.095
Nd 1.145 7.101 1.441
Nd 1.145 3.780 3.666
Nd 1.145 7.367 5.429
Nd 3.427 2.303 6.870
Te 1.141 9.725 3.240
Te 1.141 0.000 7.024
Te 3.431 -3.642 7.296
Te 3.431 1.586 3.734
Te 1.141 4.026 0.494
Te 1.141 4.497 6.802
Te 3.431 6.083 3.512
Te 3.431 2.057 10.042
Cs 2.286 0.000 0.000
! ρ = 5721 kg/m³
! total magnetic moment = 0.0905 μB/atom
! total energy = -75.52 eV per cell
! space group = No. 147
! energy relative to the elements, uncorrected = -1.40 eV per atom



! TaZnIn2 GGA-PBE optimized geometry; values from VASP
&SYSTEM
  ibrav = 0, nat = 4, ntyp = 3
/
ATOMIC_SPECIES
In 114.82 In.upf
Ta 180.95 Ta.upf
Zn 65.41 Zn.upf
CELL_PARAMETERS angstrom
-1.277 -9.405 -1.975
0.549 -9.663 0.550
-2.540 -9.314 0.884
ATOMIC_POSITIONS angstrom
In -1.626 -14.127 -0.269
In -0.007 -0.064 -0.001
Ta -0.817 -7.095 -0.135
Zn -2.450 -21.286 -0.405
! ρ = 9802 kg/m³
! total magnetic moment = 0.0000 μB/atom
! total energy = -17.83 eV per cell
! space group = No. 166
! formation enthalpy at 0 K = 0.194 eV/atom



! Sm2InN GGA-PBE optimized geometry; values from VASP
&SYSTEM
  ibrav = 0, nat = 4, ntyp = 3
/
ATOMIC_SPECIES
Sm 150.36 Sm.upf
N 14.01 N.upf
In 114.82 In.upf
CELL_PARAMETERS angstrom
3.629 0.000 0.000
1.815 3.143 0.000
1.815 1.048 8.108
ATOMIC_POSITIONS angstrom
Sm 5.444 3.143 6.731
Sm 1.815 1.048 1.377
N 0.000 0.000 0.000
In 3.629 2.095 4.054
! ρ = 7712 kg/m³
! total magnetic moment = 0.0000 μB/atom
! total energy = -24.17 eV per cell
! space group = No. 166
! energy relative to the elements, uncorrected = -0.92 eV per atom



! Ba2Np3S8 GGA-PBE optimized geometry; values from VASP
&SYSTEM
  ibrav = 0, nat = 13, ntyp = 3
/
ATOMIC_SPECIES
S 32.06 S.upf
Ba 137.33 Ba.upf
Np 237.00 Np.upf
CELL_PARAMETERS angstrom
-0.462 3.887 2.645
-0.395 -5.512 8.031
7.625 3.187 -3.353
ATOMIC_POSITIONS angstrom
S 5.372 4.226 3.166
S 1.483 0.086 0.133
S 1.396 -2.663 4.157
S 1.012 -2.190 7.615
S 5.546 0.817 3.987
S 5.755 3.753 -0.292
S 5.746 -2.411 4.546
S 1.222 0.745 3.337
Ba 3.063 -0.609 5.650
Ba 3.705 2.172 1.674
Np 7.513 1.640 -1.098
Np -0.284 -3.964 5.776
Np -0.231 1.944 1.322
! ρ = 5996 kg/m³
! total magnetic moment = 0.6923 μB/atom
! total energy = -94.76 eV per cell
! space group = No. 65
! energy relative to the elements, uncorrected = -1.47 eV per atom
! E above lowest polymorph = 0.090 eV per atom



! RbPb8Au2 GGA-PBE optimized geometry; values from VASP
&SYSTEM
  ibrav = 0, nat = 11, ntyp = 3
/
ATOMIC_SPECIES
Pb 207.20 Pb.upf
Au 196.97 Au.upf
Rb 85.47 Rb.upf
CELL_PARAMETERS angstrom
6.780 0.000 0.000
0.000 6.780 0.000
0.000 0.000 9.650
ATOMIC_POSITIONS angstrom
Pb 5.103 5.103 1.760
Pb 5.103 1.677 1.760
Pb 1.677 5.103 7.890
Pb 1.677 5.103 1.760
Pb 5.103 5.103 7.890
Pb 1.677 1.677 7.890
Pb 1.677 1.677 1.760
Pb 5.103 1.677 7.890
Au 3.390 0.000 0.000
Au 0.000 3.390 0.000
Rb 3.390 3.390 4.825
! ρ = 8000 kg/m³
! total magnetic moment = 0.0000 μB/atom
! total energy = -36.66 eV per cell
! space group = No. 123
! E above lowest polymorph = 0.049 eV per atom
! formation enthalpy at 0 K = 0.048 eV/atom



! Ac4LaY GGA-PBE optimized geometry; values from VASP
&SYSTEM
  ibrav = 0, nat = 12, ntyp = 3
/
ATOMIC_SPECIES
Ac 227.00 Ac.upf
Y 88.91 Y.upf
La 138.91 La.upf
CELL_PARAMETERS angstrom
6.227 0.000 0.000
0.000 7.507 0.001
0.000 -0.001 10.711
ATOMIC_POSITIONS angstrom
Ac 3.113 0.000 1.812
Ac 6.226 7.506 3.577
Ac 0.001 -0.001 7.134
Ac 3.114 3.753 1.812
Ac 0.001 3.753 3.577
Ac 3.114 7.506 8.899
Ac 3.113 3.753 8.899
Ac 6.226 3.753 7.134
Y 3.113 5.630 5.356
Y 3.113 1.876 5.355
La 0.000 1.877 0.000
La 6.227 5.630 0.001
! ρ = 7534 kg/m³
! total magnetic moment = 0.0000 μB/atom
! total energy = -54.18 eV per cell
! space group = No. 47
! E above lowest polymorph = 0.056 eV per atom
! formation enthalpy at 0 K = 0.123 eV/atom



! DyThTlC GGA-PBE optimized geometry; values from VASP
&SYSTEM
  ibrav = 0, nat = 4, ntyp = 4
/
ATOMIC_SPECIES
C 12.01 C.upf
Dy 162.50 Dy.upf
Th 232.04 Th.upf
Tl 204.38 Tl.upf
CELL_PARAMETERS angstrom
3.647 -0.001 0.001
-1.823 3.159 0.000
-1.821 -1.051 8.365
ATOMIC_POSITIONS angstrom
C -1.476 0.824 7.216
Dy 0.347 -0.230 5.842
Th -1.480 2.927 0.256
Tl 2.169 0.824 3.164
! ρ = 10526 kg/m³
! total magnetic moment = 0.0000 μB/atom
! total energy = -24.96 eV per cell
! space group = No. 160
! formation enthalpy at 0 K = -0.336 eV/atom



! Dy3Ir2 GGA-PBE optimized geometry; values from VASP
&SYSTEM
  ibrav = 0, nat = 10, ntyp = 2
/
ATOMIC_SPECIES
Ir 192.22 Ir.upf
Dy 162.50 Dy.upf
CELL_PARAMETERS angstrom
6.117 0.000 0.000
0.000 7.750 0.000
-3.058 -3.875 5.234
ATOMIC_POSITIONS angstrom
Ir 0.000 -1.748 4.236
Ir 3.058 1.748 4.236
Ir 0.000 2.127 0.998
Ir 3.058 5.623 0.998
Dy 3.058 2.832 1.705
Dy 4.587 0.000 0.000
Dy 0.000 4.918 1.705
Dy 3.058 -1.043 3.530
Dy 0.000 1.043 3.530
Dy 1.529 0.000 0.000
! ρ = 11671 kg/m³
! total magnetic moment = 0.0000 μB/atom
! total energy = -69.33 eV per cell
! space group = No. 72
! E above lowest polymorph = 0.174 eV per atom
! formation enthalpy at 0 K = -0.628 eV/atom



! Sr3HfV GGA-PBE optimized geometry; values from VASP
&SYSTEM
  ibrav = 0, nat = 5, ntyp = 3
/
ATOMIC_SPECIES
V 50.94 V.upf
Sr 87.62 Sr.upf
Hf 178.49 Hf.upf
CELL_PARAMETERS angstrom
6.176 0.000 0.000
0.000 6.176 0.000
0.000 0.000 6.176
ATOMIC_POSITIONS angstrom
V 3.088 3.088 3.088
Sr 0.000 3.088 0.000
Sr 3.088 0.000 0.000
Sr 0.000 0.000 3.088
Hf 0.000 0.000 0.000
! ρ = 3471 kg/m³
! total magnetic moment = 0.3026 μB/atom
! total energy = -16.79 eV per cell
! space group = No. 221
! E above lowest polymorph = 0.215 eV per atom
! formation enthalpy at 0 K = 1.466 eV/atom



! HfBRh3 GGA-PBE optimized geometry; values from VASP
&SYSTEM
  ibrav = 0, nat = 10, ntyp = 3
/
ATOMIC_SPECIES
Rh 102.91 Rh.upf
B 10.81 B.upf
Hf 178.49 Hf.upf
CELL_PARAMETERS angstrom
-6.019 16.570 3.983
-5.053 6.288 -0.364
2.576 -7.484 1.597
ATOMIC_POSITIONS angstrom
Rh -4.379 6.116 0.823
Rh -5.619 10.118 2.214
Rh -4.117 9.257 4.394
Rh -8.997 18.405 3.468
Rh 0.501 -3.032 1.749
Rh -2.877 5.255 3.003
B -8.667 16.493 2.276
B 0.171 -1.120 2.941
Hf -5.703 8.379 0.360
Hf -2.794 6.994 4.857
! ρ = 10321 kg/m³
! total magnetic moment = 0.0000 μB/atom
! total energy = -80.07 eV per cell
! space group = No. 12
! E above lowest polymorph = 0.515 eV per atom
! formation enthalpy at 0 K = -0.270 eV/atom